Entry from Alexandria via LeMat-Bulk: a relaxed Li2InP crystal (PBE).

Properties
- D(E_F) (states/eV/f.u.) = 2.21
- DFT formation energy (eV/f.u.) = -0.6
- energy above the most stable polymorph in this dataset (meV per atom) = 185
- symmetry = R-3m, No. 166
- final energy (eV/cell) = -12.60

Cell lengths 8.9317, 8.9317, 8.9317 Å; angles 20.12, 20.12, 20.12 degrees
With the nearest neighbours (Å) after each atom.
Element x y z (fractional)
Li  0.2346  0.2346  0.2346  3 P 2.53
Li  0.7654  0.7654  0.7654  3 P 2.53
In  0.0000  0.0000  0.0000  6 In 3.12, 6 Li 3.16
P  0.5000  0.5000  0.5000  6 Li 2.53